A plane-wave DFT calculation with GGA-PBE was carried out for a geometry-optimized ZnTc2Ir structure.

The energy of formation from the pure elements comes out at 0.013 eV per atom. For the volume, the calculation gives 58 Å³/cell. As for the magnetization: 0.00 μB per cell. The symmetry is Cm. For the total energy, the calculation gives -7.704 eV/atom.

a b c (Å): 4.710 4.710 4.783
angles (deg): 80.65 80.65 33.71
Fractional coordinates of all 4 atoms:
Ir 0.743 0.743 0.729
Tc 0.253 0.253 0.232
Tc 0.010 0.010 0.022
Zn 0.495 0.495 0.517